The following is a PBE calculation of a relaxed ReAsP2 crystal, from the Alexandria database.

Calculated values
Volume in Å³/f.u.: 64.1
Space group: No. 12
Calculated formation energy in eV per atom: 0.2681
Density of states at the Fermi level in states/eV/atom: 0.40

Cell: 4.2467 4.2467 5.2225 Å, 96.71 96.71 43.29°
Positions (direct):
Re 0.0000 0.0000 0.0000
As 0.5000 0.5000 0.5000
P 0.2772 0.2772 0.8098
P 0.7228 0.7228 0.1902